The following is a DFT calculation (PBE) of an optimized crystal structure of SnAsAu3.

a = 4.9778 Å, b = 4.9778 Å, c = 4.9778 Å
α = 90.00°, β = 90.00°, γ = 90.00°
With the nearest neighbours (Å) after each atom.
Space group Pm-3m (No. 221)
Unique sites:
Sn  0.0000  0.0000  0.0000 (multiplicity 1)  12 Au 3.52
As  0.5000  0.5000  0.5000 (multiplicity 1)  6 Au 2.49
Au  0.0000  0.5000  0.5000 (multiplicity 3)  2 As 2.49

Values from the calculation:
Spin magnetization: 0.0 μB/f.u.
Offset from the most stable computed form: 0.000 eV per atom
Energy of formation from the pure elements: 0.304 eV/atom

The following is a DFT calculation (PBE) of an optimized crystal structure of ZnGa6Ag2.

a = 13.7966 Å, b = 3.1673 Å, c = 7.4491 Å
α = 90.00°, β = 95.65°, γ = 90.00°
With the nearest neighbours (Å) after each atom.
Space group C2/m (No. 12)
Unique sites:
Zn  0.0000  0.0000  0.0000 (multiplicity 2)  6 Ga 2.79-2.80, 4 Ag 3.02
Ga  0.1089  0.0000  0.3376 (multiplicity 4)  2 Ag 2.76, 5 Ga 2.77-3.09, 1 Zn 2.80
Ga  0.1665  0.5000  0.0084 (multiplicity 4)  3 Ga 2.74-2.81, 1 Ag 2.74, 2 Zn 2.79
Ga  0.2227  0.0000  0.6660 (multiplicity 4)  4 Ga 2.74-2.81, 2 Ag 2.81
Ag  0.0558  0.5000  0.6814 (multiplicity 4)  5 Ga 2.74-2.81, 1 Ag 2.98, 2 Zn 3.02

Values from the calculation:
Spin magnetization: 0.0 μB/f.u.
Offset from the most stable computed form: 0.000 eV per atom
Energy of formation from the pure elements: 0.013 eV/atom

The following is a DFT calculation (PBE) of an optimized crystal structure of UTc2P.

a = 3.3508 Å, b = 3.3508 Å, c = 5.8091 Å
α = 90.00°, β = 90.00°, γ = 90.00°
With the nearest neighbours (Å) after each atom.
Space group P4/mmm (No. 123)
Unique sites:
U  0.0000  0.0000  0.0000 (multiplicity 1)  8 Tc 2.80, 2 P 2.90
Tc  0.5000  0.5000  0.2580 (multiplicity 2)  4 P 2.76, 4 U 2.80, 2 Tc 2.81-3.00
P  0.0000  0.0000  0.5000 (multiplicity 1)  8 Tc 2.76, 2 U 2.90

Values from the calculation:
Spin magnetization: 0.0 μB/f.u.
Offset from the most stable computed form: 0.256 eV per atom
Energy of formation from the pure elements: -0.011 eV/atom

The following is a DFT calculation (PBE) of an optimized crystal structure of Li2YUS4.

a = 6.6141 Å, b = 3.8908 Å, c = 6.7595 Å
α = 90.00°, β = 109.90°, γ = 90.00°
With the nearest neighbours (Å) after each atom.
Space group P2/m (No. 10)
Unique sites:
Li  0.0000  0.0000  0.0000 (multiplicity 1)  6 S 2.72
Li  0.0000  0.5000  0.5000 (multiplicity 1)  6 S 2.72-2.73
Y  0.5000  0.0000  0.5000 (multiplicity 1)  6 S 2.75
U  0.5000  0.5000  0.0000 (multiplicity 1)  6 S 2.74-2.75
S  0.2450  0.0000  0.7481 (multiplicity 2)  3 Li 2.72, 2 U 2.75, 1 Y 2.75
S  0.2462  0.5000  0.2477 (multiplicity 2)  3 Li 2.72-2.73, 1 U 2.74, 2 Y 2.75

Values from the calculation:
Spin magnetization: 3.0 μB/f.u.
Uncorrected formation energy: -1223.2 kJ/mol of formula units

Question: What is the spin magnetization in the second record?
Answer: 0.0 μB/f.u.

Question: What is the formula in the first record?
Answer: SnAsAu3